A plane-wave DFT calculation with meta-GGA SCAN was carried out for KBaSb at its PBEsol-relaxed geometry.

Formation energy (no corrections) ... -0.706 eV per atom
SG ... I4mm (107)

abc: 4.6778 4.6778 6.1321
angles: 112.42 112.42 90.00
With the nearest neighbours (Å) after each atom.
Fractional coordinates of all 3 atoms:
Sb (0.6593, 0.6593, 0.3185)  5 K 3.46-3.72, 5 Ba 3.62-3.69
K (0.3245, 0.3245, 0.6491)  1 Ba 3.18, 1 Sb 3.46
Ba (0.0162, 0.0162, 0.0324)  1 K 3.18



A plane-wave DFT calculation with meta-GGA SCAN was carried out for Ag4RuPb at its PBEsol-relaxed geometry.

Formation energy ... 0.56 eV per atom
SG ... F-43m (216)

abc: 5.3577 5.3577 5.3577
angles: 60.00 60.00 60.00
With the nearest neighbours (Å) after each atom.
Fractional coordinates of all 6 atoms:
Ag (0.3745, 0.3745, 0.3745)  6 Ag 2.67-2.69
Ag (0.3745, 0.3745, 0.8766)  6 Ag 2.67-2.69
Ag (0.8766, 0.3745, 0.3745)  6 Ag 2.67-2.69
Ag (0.3745, 0.8766, 0.3745)  6 Ag 2.67-2.69
Pb (0.7500, 0.7500, 0.7500)  12 Ag 3.14, 4 Ru 3.28
Ru (0.0000, 0.0000, 0.0000)  12 Ag 3.14, 4 Pb 3.28



Calculated total energy (eV/atom), listed in the same order as above: -29.0860 -38.7904
Calculated Fermi-level density of states (states/eV per cell), listed in the same order as above: 0.01 1.76